No. 1
Compound: PrPaBi
Source: Alexandria
Functional: PBE
Structure: relaxed

The magnetic moment comes out at 0.0 μB/f.u. The uncorrected energy is -18.24 eV/f.u.

The structure belongs to space group I4/mmm (No. 139); the cell edges are 4.235, 4.235 and 22.635 Å and the angles 90.00°, 90.00° and 90.00°. The inequivalent atoms are Pr at (0.000, 0.000, 0.126), Pa at (0.000, 0.000, 0.276) and Bi at (0.000, 0.000, 0.425).



No. 2
Compound: NdY2TiN4
Source: Alexandria
Functional: PBE
Structure: relaxed

The magnetic moment comes out at 0.0 μB/f.u. The uncorrected energy is -70.53 eV/f.u.

The structure belongs to space group Cmcm (No. 63); the cell edges are 3.425, 11.832 and 11.909 Å and the angles 90.00°, 90.00° and 90.00°. The inequivalent atoms are Nd at (0.000, 0.097, 0.250), Y at (0.000, 0.370, 0.039), Ti at (0.000, 0.166, 0.750), N at (0.000, 0.000, 0.000), N at (0.000, 0.263, 0.624) and N at (0.000, 0.430, 0.250).



No. 3
Compound: CaY2Br
Source: Alexandria
Functional: PBE
Structure: relaxed

The magnetic moment comes out at 0.0 μB/f.u. The uncorrected energy is -17.68 eV/f.u.

The structure belongs to space group P2/m (No. 10); the cell edges are 3.615, 6.166 and 5.798 Å and the angles 90.00°, 90.98° and 90.00°. The inequivalent atoms are Ca at (0.000, 0.000, 0.000), Y at (0.292, 0.500, 0.758) and Br at (0.500, 0.000, 0.500).



No. 4
Compound: Sm3Cd2Hg3
Source: Alexandria
Functional: PBE
Structure: relaxed

The magnetic moment comes out at 0.0 μB/f.u. The uncorrected energy is -19.83 eV/f.u.

The structure belongs to space group Immm (No. 71); the cell edges are 3.924, 5.278 and 20.340 Å and the angles 90.00°, 90.00° and 90.00°. The inequivalent atoms are Sm at (0.000, 0.000, 0.000), Sm at (0.000, 0.500, 0.134), Cd at (0.000, 0.000, 0.238), Hg at (0.000, 0.000, 0.500) and Hg at (0.000, 0.500, 0.378).



No. 5
Compound: CuRu
Source: Alexandria
Functional: PBE
Structure: relaxed

The magnetic moment comes out at 0.0 μB/f.u. The uncorrected energy is -12.55 eV/f.u.

The structure belongs to space group P6_3/m (No. 176); the cell edges are 6.9683, 6.9683 and 4.0728 Å and the angles 90.00°, 90.00° and 120.00°. The inequivalent atoms are Cu at (0.0496, 0.2328, 0.2500) and Ru at (0.0983, 0.4970, 0.7500).



No. 6
Compound: Mg2TaAs
Source: Alexandria
Functional: PBE
Structure: relaxed

The magnetic moment comes out at 0.0 μB/f.u. The uncorrected energy is -19.46 eV/f.u.

The structure belongs to space group P4/mmm (No. 123); the cell edges are 2.936, 2.936 and 8.875 Å and the angles 90.00°, 90.00° and 90.00°. The inequivalent atoms are Mg at (0.000, 0.000, 0.249), Ta at (0.500, 0.500, 0.500) and As at (0.500, 0.500, 0.000).



No. 7
Compound: YSb4P
Source: Alexandria
Functional: PBE
Structure: relaxed

The magnetic moment comes out at 0.0 μB/f.u. The uncorrected energy is -27.11 eV/f.u.

The structure belongs to space group F-43m (No. 216); the cell edges are 8.668, 8.668 and 8.668 Å and the angles 90.00°, 90.00° and 90.00°. The inequivalent atoms are Y at (0.000, 0.000, 0.000), Sb at (0.124, 0.124, 0.376) and P at (0.250, 0.250, 0.750).



No. 8
Compound: SnBiI2F
Source: Alexandria
Functional: PBE
Structure: relaxed

The magnetic moment comes out at 0.0 μB/f.u. The uncorrected energy is -15.12 eV/f.u.

The structure belongs to space group P4/mmm (No. 123); the cell edges are 6.366, 6.366 and 4.480 Å and the angles 90.00°, 90.00° and 90.00°. The inequivalent atoms are Sn at (0.000, 0.000, 0.000), Bi at (0.500, 0.500, 0.500), I at (0.000, 0.500, 0.500) and F at (0.500, 0.500, 0.000).



No. 9
Compound: PrSm5Er3
Source: Alexandria
Functional: PBE
Structure: relaxed

The magnetic moment comes out at 0.0 μB/f.u. The uncorrected energy is -38.33 eV/f.u.

The structure belongs to space group C2/m (No. 12); the cell edges are 16.999, 8.151 and 12.338 Å and the angles 90.00°, 131.11° and 90.00°. The inequivalent atoms are Pr at (0.237, 0.000, 0.135), Sm at (0.000, 0.320, 0.000), Sm at (0.063, 0.204, 0.776), Sm at (0.132, 0.000, 0.573), Sm at (0.197, 0.500, 0.064), Er at (0.000, 0.000, 0.000), Er at (0.000, 0.500, 0.500), Er at (0.115, 0.500, 0.318) and Er at (0.172, 0.000, 0.340).



No. 10
Compound: AcPm2Sm3
Source: Alexandria
Functional: PBE
Structure: relaxed

The magnetic moment comes out at 0.0 μB/f.u. The uncorrected energy is -27.59 eV/f.u.

The structure belongs to space group Cmmm (No. 65); the cell edges are 5.219, 15.736 and 5.216 Å and the angles 90.00°, 90.00° and 90.00°. The inequivalent atoms are Ac at (0.000, 0.000, 0.000), Pm at (0.000, 0.330, 0.000), Sm at (0.000, 0.169, 0.500) and Sm at (0.000, 0.500, 0.500).



No. 11
Compound: Pr5MgCd3
Source: Alexandria
Functional: PBE
Structure: relaxed

The magnetic moment comes out at 0.0 μB/f.u. The uncorrected energy is -29.83 eV/f.u.

The structure belongs to space group P6_3/mcm (No. 193); the cell edges are 9.5700, 9.5700 and 6.9190 Å and the angles 90.00°, 90.00° and 120.00°. The inequivalent atoms are Pr at (0.0000, 0.3119, 0.2500), Pr at (0.3333, 0.6667, 0.0000), Mg at (0.0000, 0.0000, 0.0000) and Cd at (0.0000, 0.3484, 0.7500).



No. 12
Compound: AgPt2
Source: Alexandria
Functional: PBE
Structure: relaxed

The magnetic moment comes out at 0.0 μB/f.u. The uncorrected energy is -14.79 eV/f.u.

The structure belongs to space group Cmcm (No. 63); the cell edges are 4.118, 12.053 and 3.920 Å and the angles 90.00°, 90.00° and 90.00°. The inequivalent atoms are Ag at (0.000, 0.084, 0.250), Pt at (0.000, 0.253, 0.750) and Pt at (0.000, 0.417, 0.250).



No. 13
Compound: Nd3PuS4
Source: Alexandria
Functional: PBE
Structure: relaxed

The magnetic moment comes out at 5.8 μB/f.u. The uncorrected energy is -60.95 eV/f.u.

The structure belongs to space group P2/c (No. 13); the cell edges are 7.010, 8.076 and 7.001 Å and the angles 90.00°, 109.41° and 90.00°. The inequivalent atoms are Nd at (0.000, 0.124, 0.250), Nd at (0.000, 0.374, 0.750), Nd at (0.500, 0.374, 0.250), Pu at (0.500, 0.123, 0.750), S at (0.252, 0.372, 0.503) and S at (0.257, 0.122, 0.999).



No. 14
Compound: Ac3Pm3Ag4
Source: Alexandria
Functional: PBE
Structure: relaxed

The magnetic moment comes out at 0.0 μB/f.u. The uncorrected energy is -39.57 eV/f.u.

The structure belongs to space group Amm2 (No. 38); the cell edges are 5.041, 11.284 and 11.079 Å and the angles 90.00°, 90.00° and 90.00°. The inequivalent atoms are Ac at (0.000, 0.000, 0.000), Ac at (0.000, 0.174, 0.669), Pm at (0.000, 0.000, 0.347), Pm at (0.500, 0.245, 0.418), Ag at (0.500, 0.000, 0.534), Ag at (0.500, 0.000, 0.796) and Ag at (0.500, 0.125, 0.173).



No. 15
Compound: Rb2MoHBr6
Source: Alexandria
Functional: PBE
Structure: relaxed

The magnetic moment comes out at 3.0 μB/f.u. The uncorrected energy is -33.86 eV/f.u.

The structure belongs to space group I4/mmm (No. 139); the cell edges are 7.636, 7.636 and 10.820 Å and the angles 90.00°, 90.00° and 90.00°. The inequivalent atoms are Rb at (0.000, 0.500, 0.250), Mo at (0.000, 0.000, 0.000), H at (0.000, 0.000, 0.500), Br at (0.000, 0.000, 0.237) and Br at (0.238, 0.238, 0.000).



No. 16
Compound: NaP2S2
Source: Alexandria
Functional: PBE
Structure: relaxed

The magnetic moment comes out at 0.9 μB/f.u. The uncorrected energy is -17.62 eV/f.u.

The structure belongs to space group P4/mmm (No. 123); the cell edges are 4.647, 4.647 and 4.753 Å and the angles 90.00°, 90.00° and 90.00°. The inequivalent atoms are Na at (0.000, 0.000, 0.000), P at (0.000, 0.500, 0.500), S at (0.500, 0.500, 0.000) and S at (0.500, 0.500, 0.500).



No. 17
Compound: Pr5SmSb6
Source: Alexandria
Functional: PBE
Structure: relaxed

The magnetic moment comes out at 0.0 μB/f.u. The uncorrected energy is -67.62 eV/f.u.

The structure belongs to space group C2/m (No. 12); the cell edges are 7.870, 13.632 and 7.871 Å and the angles 90.00°, 109.50° and 90.00°. The inequivalent atoms are Pr at (0.000, 0.000, 0.000), Pr at (0.000, 0.166, 0.500), Pr at (0.000, 0.332, 0.000), Sm at (0.000, 0.500, 0.500), Sb at (0.247, 0.500, 0.251) and Sb at (0.248, 0.335, 0.748).



No. 18
Compound: BeAs2SeF
Source: Alexandria
Functional: PBE
Structure: relaxed

The magnetic moment comes out at 0.0 μB/f.u. The uncorrected energy is -17.62 eV/f.u.

The structure belongs to space group P4/mmm (No. 123); the cell edges are 4.463, 4.463 and 4.410 Å and the angles 90.00°, 90.00° and 90.00°. The inequivalent atoms are Be at (0.000, 0.000, 0.000), As at (0.000, 0.500, 0.000), Se at (0.000, 0.000, 0.500) and F at (0.500, 0.500, 0.500).



No. 19
Compound: LiInPtPb
Source: Alexandria
Functional: PBE
Structure: relaxed

The magnetic moment comes out at 0.0 μB/f.u. The uncorrected energy is -15.65 eV/f.u.

The structure belongs to space group F-43m (No. 216); the cell edges are 6.822, 6.822 and 6.822 Å and the angles 90.00°, 90.00° and 90.00°. The inequivalent atoms are Li at (0.000, 0.000, 0.000), In at (0.250, 0.250, 0.750), Pt at (0.000, 0.000, 0.500) and Pb at (0.250, 0.250, 0.250).



No. 20
Compound: Rb2Tb2SnO6
Source: Alexandria
Functional: PBE
Structure: relaxed

The magnetic moment comes out at 0.0 μB/f.u. The uncorrected energy is -71.58 eV/f.u.

The structure belongs to space group C2/m (No. 12); the cell edges are 5.939, 10.221 and 6.961 Å and the angles 90.00°, 105.80° and 90.00°. The inequivalent atoms are Rb at (0.000, 0.166, 0.000), Tb at (0.000, 0.335, 0.500), Sn at (0.000, 0.000, 0.500), O at (0.207, 0.159, 0.665) and O at (0.247, 0.500, 0.665).



No. 21
Compound: LaZn2In
Source: Alexandria
Functional: PBE
Structure: relaxed

The magnetic moment comes out at 0.0 μB/f.u. The uncorrected energy is -11.18 eV/f.u.

The structure belongs to space group Pm (No. 6); the cell edges are 3.637, 4.425 and 6.142 Å and the angles 90.00°, 107.08° and 90.00°. The inequivalent atoms are La at (0.000, 0.000, 0.000), Zn at (0.614, 0.500, 0.231), Zn at (0.725, 0.000, 0.456) and In at (0.315, 0.500, 0.634).



No. 22
Compound: Ho2TiCo
Source: Alexandria
Functional: PBE
Structure: relaxed

The magnetic moment comes out at 1.8 μB/f.u. The uncorrected energy is -22.43 eV/f.u.

The structure belongs to space group R-3m (No. 166, hexagonal axes); the cell edges are 3.3108, 3.3108 and 29.1959 Å and the angles 90.00°, 90.00° and 120.00°. The inequivalent atoms are Ho at (0.0000, 0.0000, 0.1029), Ti at (0.0000, 0.0000, 0.0000) and Co at (0.0000, 0.0000, 0.5000).



No. 23
Compound: CaGa2SiRh4
Source: Alexandria
Functional: PBE
Structure: relaxed

The magnetic moment comes out at 0.0 μB/f.u. The uncorrected energy is -48.33 eV/f.u.

The structure belongs to space group R-3m (No. 166, hexagonal axes); the cell edges are 4.3015, 4.3015 and 23.5501 Å and the angles 90.00°, 90.00° and 120.00°. The inequivalent atoms are Ca at (0.0000, 0.0000, 0.0000), Ga at (0.0000, 0.0000, 0.2471), Si at (0.0000, 0.0000, 0.5000), Rh at (0.0000, 0.0000, 0.1340) and Rh at (0.0000, 0.0000, 0.4013).



No. 24
Compound: LiNi4H8Pd
Source: Alexandria
Functional: PBE
Structure: relaxed

The magnetic moment comes out at 0.0 μB/f.u. The uncorrected energy is -58.12 eV/f.u.

The structure belongs to space group R3m (No. 160, hexagonal axes); the cell edges are 5.1182, 5.1182 and 13.5152 Å and the angles 90.00°, 90.00° and 120.00°. The inequivalent atoms are Li at (0.0000, 0.0000, 0.0000), Ni at (0.0000, 0.0000, 0.2642), Ni at (0.0021, 0.5010, 0.1365), H at (0.0000, 0.0000, 0.3951), H at (0.0000, 0.0000, 0.8611), H at (0.0419, 0.5210, 0.4027), H at (0.1690, 0.3380, 0.2071) and Pd at (0.0000, 0.0000, 0.6368).